No. 1
PBE K2Sr2Cd3, optimized geometry; V = 39.928 A^3/atom; final energy = -1.233 eV/atom
1.0
2.9238 1.6880 9.4385
-2.9238 1.6880 9.4385
0.0000 -3.3761 9.4385
K Sr Cd
2 2 3
Direct
0.0000 0.0000 0.0000 K
0.4947 0.4947 0.4947 K
0.2450 0.2450 0.2450 Sr
0.7463 0.7463 0.7463 Sr
0.3683 0.3683 0.3683 Cd
0.6209 0.6209 0.6209 Cd
0.8757 0.8757 0.8757 Cd

=====

No. 2
PBE KTaCd, optimized geometry; magnetic moment = 1.255 μB per atom; V = 32.732 A^3/atom; energy relative to the lowest polymorph listed for this composition = 0 meV per atom
1.0
0.0000 3.6617 3.6617
3.6617 0.0000 3.6617
3.6617 3.6617 0.0000
K Ta Cd
1 1 1
Direct
0.0000 0.0000 0.0000 K
0.5000 0.5000 0.5000 Ta
0.2500 0.2500 0.2500 Cd